Record 1
Crystalline Tb12Cu6Rh at its relaxed geometry. Source: Alexandria, functional PBE-GGA.

POSCAR file:
```
Tb12Cu6Rh
1.0
-5.847 5.514 -1.230
-4.383 -6.639 -1.679
-0.523 -0.362 8.106
Tb Cu Rh
12 6 1
direct
0.809 0.584 0.436
0.436 0.809 0.584
0.584 0.436 0.809
0.191 0.416 0.564
0.564 0.191 0.416
0.416 0.564 0.191
0.088 0.962 0.322
0.038 0.678 0.912
0.678 0.912 0.038
0.912 0.038 0.678
0.962 0.322 0.088
0.322 0.088 0.962
0.691 0.875 0.376
0.624 0.309 0.125
0.125 0.624 0.309
0.309 0.125 0.624
0.376 0.691 0.875
0.875 0.376 0.691
0.000 0.000 0.000
```


Record 2
Crystalline TbCuRh2 at its relaxed geometry. Source: Alexandria, functional PBE-GGA.

POSCAR file:
```
TbCuRh2
1.0
4.535 0.000 0.000
2.268 3.928 0.000
2.268 1.309 3.703
Rh Tb Cu
2 1 1
direct
0.250 0.250 0.250
0.750 0.750 0.750
0.000 0.000 0.000
0.500 0.500 0.500
```

Calculated values
Relative energy among the computed polymorphs, meV/atom: 51.7


Record 3
Crystalline Tb2Cu3Rh at its relaxed geometry. Source: Alexandria, functional PBE-GGA.

POSCAR file:
```
Tb2Cu3Rh
1.0
-1.031 -2.124 2.659
3.986 0.023 1.564
-1.652 5.966 4.124
Tb Cu Rh
2 3 1
direct
0.000 0.500 0.015
0.000 0.000 0.488
0.500 0.000 0.831
0.500 0.000 0.156
0.500 0.500 0.675
0.500 0.500 0.335
```


Record 4
Crystalline Tb6Cu5Rh at its relaxed geometry. Source: Alexandria, functional PBE-GGA.

POSCAR file:
```
Tb6Cu5Rh
1.0
4.661 -0.028 1.553
0.038 6.972 0.013
-0.003 -0.014 7.778
Rh Tb Cu
1 6 5
direct
0.000 0.000 0.000
0.836 0.751 0.329
0.835 0.249 0.329
0.500 0.246 0.000
0.500 0.754 0.000
0.165 0.751 0.671
0.164 0.249 0.671
0.664 0.500 0.671
0.329 0.000 0.342
0.000 0.500 0.000
0.671 0.000 0.658
0.336 0.500 0.329
```


Record 5
Crystalline Tb5Cu4Rh at its relaxed geometry. Source: Alexandria, functional PBE-GGA.

POSCAR file:
```
Tb5Cu4Rh
1.0
-1.719 3.001 0.321
-0.291 -0.533 3.420
15.094 8.371 2.587
Tb Cu Rh
5 4 1
direct
0.500 0.500 0.097
0.500 0.500 0.299
0.500 0.500 0.500
0.500 0.500 0.701
0.500 0.500 0.903
0.000 0.000 0.199
0.000 0.000 0.400
0.000 0.000 0.600
0.000 0.000 0.801
0.000 0.000 0.000
```


Record 6
Crystalline TbCu5Rh at its relaxed geometry. Source: Alexandria, functional PBE-GGA.

POSCAR file:
```
TbCu5Rh
1.0
-2.042 3.135 3.279
-5.422 -5.598 1.976
6.275 -3.513 7.265
Tb Cu Rh
4 20 4
direct
0.250 0.236 0.932
0.750 0.264 0.432
0.250 0.736 0.568
0.750 0.764 0.068
0.250 0.599 0.018
0.750 0.901 0.518
0.250 0.099 0.482
0.750 0.401 0.982
0.750 0.316 0.747
0.250 0.184 0.247
0.750 0.816 0.753
0.250 0.684 0.253
0.250 0.944 0.099
0.750 0.556 0.599
0.250 0.444 0.401
0.750 0.056 0.901
0.995 0.432 0.187
0.005 0.068 0.687
0.505 0.932 0.313
0.495 0.568 0.813
0.005 0.568 0.813
0.995 0.932 0.313
0.495 0.068 0.687
0.505 0.432 0.187
0.250 0.863 0.858
0.750 0.637 0.358
0.250 0.363 0.642
0.750 0.137 0.142
```


Record 7
Crystalline Tb2CuRh at its relaxed geometry. Source: Alexandria, functional PBE-GGA.

POSCAR file:
```
Tb2CuRh
1.0
3.501 0.000 0.000
0.000 4.874 0.000
0.000 0.000 4.874
Rh Tb Cu
1 2 1
direct
0.500 0.500 0.500
0.000 0.000 0.500
0.000 0.500 0.000
0.500 0.000 0.000
```


Record 8
Crystalline Tb8CuRh2 at its relaxed geometry. Source: Alexandria, functional PBE-GGA.

POSCAR file:
```
Tb8CuRh2
1.0
-5.383 1.912 -2.068
2.137 -4.293 -5.779
-2.267 -4.060 5.897
Rh Tb Cu
2 8 1
direct
0.485 0.691 0.319
0.485 0.319 0.691
0.589 0.345 0.081
0.589 0.081 0.345
0.173 0.366 0.366
0.985 0.217 0.780
0.985 0.780 0.217
0.799 0.643 0.643
0.370 0.927 0.661
0.370 0.661 0.927
0.168 0.004 0.004
```


Number 1: total DFT energy (no corrections) -4.653 eV/atom, V 27.44 A^3/atom, size of the total moment 0.00 μB/atom. Number 2: total DFT energy (no corrections) -6.247 eV/atom, V 16.49 A^3/atom, size of the total moment 0.00 μB/atom. Number 3: total DFT energy (no corrections) -5.193 eV/atom, V 18.88 A^3/atom, size of the total moment 0.00 μB/atom. Number 4: total DFT energy (no corrections) -4.979 eV/atom, V 21.07 A^3/atom, size of the total moment 0.00 μB/atom. Number 5: total DFT energy (no corrections) -5.045 eV/atom, V 21.05 A^3/atom, size of the total moment 0.00 μB/atom. Number 6: total DFT energy (no corrections) -4.858 eV/atom, V 14.60 A^3/atom, size of the total moment 0.00 μB/atom. Number 7: total DFT energy (no corrections) -5.717 eV/atom, V 20.79 A^3/atom, size of the total moment 0.00 μB/atom. Number 8: total DFT energy (no corrections) -5.349 eV/atom, V 27.42 A^3/atom, size of the total moment 0.00 μB/atom.